VASP calculation (PBE-GGA) on a relaxed structure of KBa2SrLi.

Output
The value obtained for the formation enthalpy at 0 K is 0.2182 eV/atom. The energy above the most stable polymorph in this dataset comes out at 56.9 meV per atom. The crystal system is tetragonal.

Cell: 6.805 6.805 6.537 Å, 90.00 90.00 90.00°
Fractional positions:
Li1 0.000 0.000 0.000
Sr1 0.500 0.500 0.500
Ba1 0.000 0.500 0.000
Ba2 0.500 0.000 0.000
K1 0.000 0.000 0.500

VASP calculation (PBE-GGA) on a relaxed structure of La2In5Pd3.

Output
The value obtained for the formation enthalpy at 0 K is -0.6302 eV/atom. The energy above the most stable polymorph in this dataset comes out at 34.9 meV per atom. The crystal system is orthorhombic.

Cell: 6.177 9.382 9.382 Å, 72.63 70.78 70.78°
Fractional positions:
La1 0.850 0.434 0.866
La2 0.350 0.866 0.434
La3 0.150 0.566 0.134
La4 0.650 0.134 0.566
Pd1 0.352 0.553 0.743
Pd2 0.148 0.257 0.447
Pd3 0.250 0.000 0.000
Pd4 0.852 0.743 0.553
Pd5 0.648 0.447 0.257
Pd6 0.750 0.000 0.000
In1 0.080 0.098 0.742
In2 0.420 0.258 0.902
In3 0.750 0.500 0.500
In4 0.955 0.795 0.795
In5 0.580 0.742 0.098
In6 0.920 0.902 0.258
In7 0.455 0.795 0.795
In8 0.250 0.500 0.500
In9 0.045 0.205 0.205
In10 0.545 0.205 0.205

VASP calculation (PBE-GGA) on a relaxed structure of AlRu2PtW.

Output
The value obtained for the formation enthalpy at 0 K is 1.3376 eV/atom. The crystal system is tetragonal.

Cell: 4.648 4.866 4.648 Å, 90.00 90.00 90.00°
Fractional positions:
Ru1 0.500 0.000 0.000
Ru2 0.000 0.000 0.500
Pt1 0.000 0.500 0.000
W1 0.000 0.000 0.000
Al1 0.500 0.500 0.500

VASP calculation (PBE-GGA) on a relaxed structure of Ag2PRhN.

Output
The energy relative to the elements, uncorrected is 916 meV per atom. The crystal system is tetragonal.

Cell: 5.201 3.578 5.201 Å, 90.00 90.00 90.00°
Fractional positions:
Rh1 0.000 0.000 0.000
Ag1 0.000 0.000 0.500
Ag2 0.500 0.000 0.000
P1 0.500 0.500 0.500
N1 0.000 0.500 0.000

VASP calculation (PBE-GGA) on a relaxed structure of DyYPuMg.

Output
The value obtained for the formation enthalpy at 0 K is 0.1480 eV/atom. The crystal system is cubic.

Cell: 5.462 5.462 5.462 Å, 60.00 60.00 60.00°
Site moments in Bohr magnetons follow the coordinates.
Fractional positions:
Mg1 0.000 0.000 0.000  -0.01
Y1 0.250 0.250 0.250  0.14
Dy1 0.750 0.750 0.750  0.20
Pu1 0.500 0.500 0.500  5.54

VASP calculation (PBE-GGA) on a relaxed structure of Cu2Ir.

Output
The value obtained for the formation enthalpy at 0 K is 0.2262 eV/atom. The energy above the most stable polymorph in this dataset comes out at 174.1 meV per atom. The crystal system is hexagonal.

Cell: 7.376 7.376 2.550 Å, 90.00 90.00 120.00°
Fractional positions:
Ir1 0.333 0.667 0.000
Ir2 0.000 0.000 0.500
Ir3 0.667 0.333 0.000
Cu1 0.000 0.635 0.500
Cu2 0.696 0.696 0.000
Cu3 0.304 0.000 0.000
Cu4 0.000 0.304 0.000
Cu5 0.365 0.365 0.500
Cu6 0.635 0.000 0.500

VASP calculation (PBE-GGA) on a relaxed structure of AlCu7Ge2Au2.

Output
The value obtained for the formation enthalpy at 0 K is 0.0212 eV/atom. The crystal system is monoclinic.

Cell: 3.530 3.530 14.521 Å, 83.21 83.21 89.94°
Fractional positions:
Cu1 0.269 0.269 0.464
Cu2 0.731 0.731 0.536
Cu3 0.936 0.436 0.134
Cu4 0.564 0.064 0.866
Cu5 0.064 0.564 0.866
Cu6 0.500 0.500 0.000
Cu7 0.436 0.936 0.134
Ge1 0.179 0.179 0.635
Ge2 0.821 0.821 0.365
Au1 0.635 0.635 0.724
Au2 0.365 0.365 0.276
Al1 0.000 0.000 0.000

VASP calculation (PBE-GGA) on a relaxed structure of Li2NpPO6.

Output
The energy relative to the elements, uncorrected is -2201 meV per atom. The crystal system is tetragonal.

Cell: 4.310 5.306 5.306 Å, 90.00 90.00 90.00°
Site moments in Bohr magnetons follow the coordinates.
Fractional positions:
O1 0.713 0.781 0.219  -0.04
O2 0.713 0.781 0.781  -0.04
O3 0.713 0.219 0.219  -0.04
O4 0.159 0.500 0.500  -0.09
O5 0.713 0.219 0.781  -0.04
O6 0.252 0.000 0.000  -0.01
Li1 0.968 0.000 0.500  0.00
Li2 0.968 0.500 0.000  0.00
P1 0.603 0.000 0.000  0.00
Np1 0.645 0.500 0.500  2.23